P.
# Sr3PbI (GGA-PBE, relaxed)
# SG = Pm-3m, No. 221
data_Sr3PbI
_space_group_name_H-M_alt 'P 1'
_space_group_IT_number 1
_cell_length_a 6.4393
_cell_length_b 6.4393
_cell_length_c 6.4393
_cell_angle_alpha 90.00
_cell_angle_beta 90.00
_cell_angle_gamma 90.00
loop_
_space_group_symop_operation_xyz
'x,y,z'
loop_
_atom_site_label
_atom_site_type_symbol
_atom_site_fract_x
_atom_site_fract_y
_atom_site_fract_z
Pb1 Pb 0.0000 0.0000 0.0000
I1 I 0.5000 0.5000 0.5000
Sr1 Sr 0.0000 0.5000 0.0000
Sr2 Sr 0.0000 0.0000 0.5000
Sr3 Sr 0.5000 0.0000 0.0000



Q.
# Sr3PbI (GGA-PBE, relaxed)
# SG = P2_1/m, No. 11
data_Sr3PbI
_space_group_name_H-M_alt 'P 1'
_space_group_IT_number 1
_cell_length_a 4.9038
_cell_length_b 9.2655
_cell_length_c 9.5985
_cell_angle_alpha 101.84
_cell_angle_beta 90.00
_cell_angle_gamma 90.00
loop_
_space_group_symop_operation_xyz
'x,y,z'
loop_
_atom_site_label
_atom_site_type_symbol
_atom_site_fract_x
_atom_site_fract_y
_atom_site_fract_z
Sr1 Sr 0.7500 0.5881 0.3716
Sr2 Sr 0.2500 0.4119 0.6284
Sr3 Sr 0.7500 0.3316 0.9740
Sr4 Sr 0.2500 0.8989 0.7304
Sr5 Sr 0.2500 0.6684 0.0260
Sr6 Sr 0.7500 0.1011 0.2696
Pb1 Pb 0.2500 0.3443 0.2283
Pb2 Pb 0.7500 0.6557 0.7717
I1 I 0.2500 0.8638 0.3648
I2 I 0.7500 0.1362 0.6352



Ranking the structures above by energy, Q is first and the second is 262 meV per atom behind.